# TiSe3O9 | Alexandria | PBE | relaxed
data_TiSe3O9
_chemical_formula_sum 'Ti2 Se6 O18'
_cell_length_a 8.615
_cell_length_b 8.615
_cell_length_c 9.882
_cell_angle_alpha 122.35
_cell_angle_beta 122.35
_cell_angle_gamma 46.96
_space_group_name_H-M_alt 'P 1'
_space_group_IT_number 1
_space_group_name_Hall 'P 1'
loop_
_atom_site_label
_atom_site_fract_x
_atom_site_fract_y
_atom_site_fract_z
Ti1 0.224 0.776 0.500
Ti2 0.776 0.224 0.000
Se1 0.227 0.283 0.243
Se2 0.283 0.227 0.743
Se3 0.500 0.684 0.289
Se4 0.684 0.500 0.789
Se5 0.781 0.995 0.195
Se6 0.995 0.781 0.695
O1 0.125 0.857 0.676
O2 0.133 0.339 0.863
O3 0.139 0.552 0.358
O4 0.218 0.523 0.715
O5 0.316 0.670 0.301
O6 0.333 0.960 0.623
O7 0.339 0.133 0.363
O8 0.523 0.218 0.215
O9 0.523 0.524 0.091
O10 0.524 0.523 0.591
O11 0.552 0.139 0.858
O12 0.577 0.741 0.929
O13 0.670 0.316 0.801
O14 0.741 0.577 0.429
O15 0.857 0.125 0.176
O16 0.929 0.993 0.403
O17 0.960 0.333 0.123
O18 0.993 0.929 0.903
# - Size of the total moment: 2.1 μB/f.u.
# - Fermi-level density of states: 0.091 states/eV per atom
# - Energy relative to the elements, uncorrected: -1.026 eV per atom
# - DFT total energy: -5.870 eV/atom

# LaBPt3 | Alexandria | PBE | relaxed
data_LaBPt3
_chemical_formula_sum 'La2 B2 Pt6'
_cell_length_a 8.304
_cell_length_b 4.000
_cell_length_c 5.136
_cell_angle_alpha 90.00
_cell_angle_beta 90.00
_cell_angle_gamma 90.00
_space_group_name_H-M_alt 'P 1'
_space_group_IT_number 1
_space_group_name_Hall 'P 1'
loop_
_atom_site_label
_atom_site_fract_x
_atom_site_fract_y
_atom_site_fract_z
La1 0.000 0.000 0.000
La2 0.500 0.000 0.000
B1 0.250 0.500 0.300
B2 0.750 0.500 0.700
Pt1 0.000 0.500 0.500
Pt2 0.250 0.000 0.482
Pt3 0.250 0.500 0.889
Pt4 0.500 0.500 0.500
Pt5 0.750 0.000 0.518
Pt6 0.750 0.500 0.111
# - Size of the total moment: 0.0 μB/f.u.
# - E above lowest polymorph: 0.00 eV per formula unit
# - Fermi-level density of states: 0.170 states/eV per atom
# - E_form: -0.897 eV per atom
# - DFT total energy: -6.843 eV/atom

# Sr6CuAu | Alexandria | PBE | relaxed
data_Sr6CuAu
_chemical_formula_sum 'Sr12 Cu2 Au2'
_cell_length_a 7.600
_cell_length_b 7.600
_cell_length_c 14.431
_cell_angle_alpha 90.00
_cell_angle_beta 90.00
_cell_angle_gamma 120.00
_space_group_name_H-M_alt 'P 1'
_space_group_IT_number 1
_space_group_name_Hall 'P 1'
loop_
_atom_site_label
_atom_site_fract_x
_atom_site_fract_y
_atom_site_fract_z
Sr1 0.000 0.331 0.125
Sr2 0.000 0.331 0.625
Sr3 0.000 0.669 0.375
Sr4 0.000 0.669 0.875
Sr5 0.331 0.000 0.125
Sr6 0.331 0.000 0.625
Sr7 0.331 0.331 0.375
Sr8 0.331 0.331 0.875
Sr9 0.669 0.000 0.375
Sr10 0.669 0.000 0.875
Sr11 0.669 0.669 0.125
Sr12 0.669 0.669 0.625
Cu1 0.000 0.000 0.000
Cu2 0.000 0.000 0.500
Au1 0.333 0.667 0.250
Au2 0.667 0.333 0.750
# - Size of the total moment: 0.0 μB/f.u.
# - Fermi-level density of states: 0.658 states/eV per atom
# - E_form: -0.224 eV per atom
# - DFT total energy: -2.407 eV/atom